First-principles (PBE-GGA) data for a geometry-optimized Pu2RuF structure, as listed in Alexandria.

Cell lengths 3.4573, 3.4573, 23.1981 Å; angles 90.00, 90.00, 120.00 degrees
Space group R-3m (No. 166, hexagonal axes)
One atom of each set of equivalent atoms:
1 Pu 0.0000 0.0000 0.2489 x6
2 Ru 0.0000 0.0000 0.0000 x3
3 F 0.0000 0.0000 0.5000 x3

Summary:
VASP energy = -10.918 eV per atom
formation energy from raw total energies = -0.9648 eV/atom
energy above the most stable polymorph in this dataset = 0.282 eV/f.u.
crystal system = trigonal

---

First-principles (PBE-GGA) data for a geometry-optimized BaGeH2S structure, as listed in Alexandria.

Cell lengths 4.264, 4.264, 6.316 Å; angles 90.00, 90.00, 90.00 degrees
Space group P4/mmm (No. 123)
One atom of each set of equivalent atoms:
1 Ba 0.000 0.000 0.000 x1
2 Ge 0.500 0.500 0.000 x1
3 H 0.000 0.500 0.500 x2
4 S 0.000 0.000 0.500 x1

Summary:
VASP energy = -2.872 eV per atom
crystal system = tetragonal

---

First-principles (PBE-GGA) data for a geometry-optimized MgCoIr2 structure, as listed in Alexandria.

Cell lengths 7.199, 7.199, 4.935 Å; angles 90.00, 90.00, 90.00 degrees
Space group I-42d (No. 122)
One atom of each set of equivalent atoms:
1 Mg 0.000 0.000 0.000 x4
2 Co 0.000 0.000 0.500 x4
3 Ir 0.195 0.750 0.625 x8

Summary:
VASP energy = -6.268 eV per atom
crystal system = tetragonal

---

First-principles (PBE-GGA) data for a geometry-optimized ZrAsC2 structure, as listed in Alexandria.

Cell lengths 5.254, 5.254, 8.108 Å; angles 90.00, 90.00, 90.00 degrees
Space group I-42d (No. 122)
One atom of each set of equivalent atoms:
1 Zr 0.000 0.000 0.000 x4
2 As 0.000 0.000 0.500 x4
3 C 0.203 0.250 0.625 x8

Summary:
VASP energy = -7.342 eV per atom
crystal system = tetragonal

---

> Which of these has the lowest VASP energy?

Pu2RuF

---

> Look up the VASP energy of the fourth one.

-7.342 eV per atom

---

> Look up the VASP energy of the first one.

-10.918 eV per atom

---

> Among the records above, which one has the highest VASP energy?

BaGeH2S